Entry 1:
LiYHgSe3 PBE optimized geometry; final energy = -4.32 eV per atom; total moment = 0.001 μB per atom
1.0
11.0621 0.0000 0.0000
0.0000 4.1454 0.0000
0.0000 0.0000 13.1960
Li Y Hg Se
4 4 4 12
direct
0.1465 0.2500 0.0765
0.3535 0.7500 0.5765
0.6465 0.2500 0.4235
0.8535 0.7500 0.9235
0.1171 0.2500 0.7599
0.3829 0.7500 0.2599
0.6171 0.2500 0.7401
0.8829 0.7500 0.2401
0.1304 0.2500 0.3880
0.3696 0.7500 0.8880
0.6304 0.2500 0.1120
0.8696 0.7500 0.6120
0.0989 0.7500 0.6091
0.1345 0.7500 0.2046
0.1413 0.7500 0.9177
0.3587 0.2500 0.4177
0.3655 0.2500 0.7046
0.4011 0.2500 0.1091
0.5989 0.7500 0.8909
0.6345 0.7500 0.2954
0.6413 0.7500 0.5823
0.8587 0.2500 0.0823
0.8655 0.2500 0.7954
0.9011 0.2500 0.3909



Entry 2:
BiPd2Au2 PBE optimized geometry; final energy = -4.21 eV per atom
1.0
-1.9684 1.9684 6.4512
1.9684 -1.9684 6.4512
1.9684 1.9684 -6.4512
Bi Pd Au
1 2 2
direct
0.0000 0.0000 0.0000
0.3989 0.3989 0.0000
0.6011 0.6011 0.0000
0.2500 0.7500 0.5000
0.7500 0.2500 0.5000



Entry 3:
CuS2F6 PBE optimized geometry; final energy = -3.74 eV per atom
1.0
3.7668 0.0000 0.0000
-0.3344 4.8004 0.0000
-0.6551 -0.5795 6.1659
Cu S F
1 2 6
direct
0.0000 0.0000 0.0000
0.3614 0.3285 0.2088
0.6386 0.6715 0.7912
0.0914 0.5898 0.2261
0.2993 0.2558 0.4471
0.3512 0.9991 0.7897
0.6488 0.0009 0.2103
0.7007 0.7442 0.5529
0.9086 0.4102 0.7739



Entry 4:
NiSn2Os PBE optimized geometry; final energy = -5.52 eV per atom; total moment = 0.085 μB per atom
1.0
0.0000 3.2717 3.2717
3.2717 0.0000 3.2717
3.2717 3.2717 0.0000
Ni Sn Os
1 2 1
direct
0.0000 0.0000 0.0000
0.2500 0.2500 0.2500
0.5000 0.5000 0.5000
0.7500 0.7500 0.7500



Entry 5:
BaErAsO PBE optimized geometry; final energy = -5.56 eV per atom; total moment = 0.001 μB per atom
1.0
4.4608 0.0000 0.0000
0.0000 4.4608 0.0000
0.0000 0.0000 9.4872
Ba Er As O
2 2 2 2
direct
0.2500 0.7500 0.0000
0.7500 0.2500 0.0000
0.2500 0.2500 0.4263
0.7500 0.7500 0.5737
0.2500 0.2500 0.7635
0.7500 0.7500 0.2365
0.2500 0.7500 0.5000
0.7500 0.2500 0.5000



Entry 6:
AuSBr6 PBE optimized geometry; final energy = -1.68 eV per atom
1.0
0.0000 4.9807 4.9807
4.9807 0.0000 4.9807
4.9807 4.9807 0.0000
Au S Br
1 1 6
direct
0.0000 0.0000 0.0000
0.7500 0.7500 0.7500
0.2549 0.2549 0.7451
0.2549 0.7451 0.2549
0.2549 0.7451 0.7451
0.7451 0.2549 0.2549
0.7451 0.2549 0.7451
0.7451 0.7451 0.2549



Entry 7:
BaNaCoMo PBE optimized geometry; final energy = -4.04 eV per atom; total moment = 0.323 μB per atom
1.0
0.0000 3.4468 3.4468
3.4468 0.0000 3.4468
3.4468 3.4468 0.0000
Ba Na Co Mo
1 1 1 1
direct
0.0000 0.0000 0.0000
0.2500 0.2500 0.2500
0.5000 0.5000 0.5000
0.7500 0.7500 0.7500



Entry 8:
PmSm2As3 PBE optimized geometry; final energy = -6.22 eV per atom; total moment = 0.001 μB per atom
1.0
4.2176 0.0000 0.0000
-2.1088 3.6525 0.0000
0.0000 0.0000 10.3342
Pm Sm As
1 2 3
direct
0.0000 0.0000 0.0000
0.3333 0.6667 0.3339
0.6667 0.3333 0.6661
0.0000 0.0000 0.5000
0.3333 0.6667 0.8322
0.6667 0.3333 0.1678



Entry 9:
Tl2MoBr6 PBE optimized geometry; final energy = -3.53 eV per atom; total moment = 0.222 μB per atom
1.0
7.3347 0.0000 0.0000
0.0000 7.7868 0.0000
-7.1215 0.0000 10.4851
Tl Mo Br
4 2 12
direct
0.2218 0.0825 0.2469
0.2218 0.4175 0.7469
0.7782 0.5825 0.2531
0.7782 0.9175 0.7531
0.5000 0.0000 0.0000
0.5000 0.5000 0.5000
0.1752 0.1823 0.9603
0.1752 0.3177 0.4603
0.2839 0.7239 0.9673
0.2839 0.7761 0.4673
0.3401 0.0067 0.7614
0.3401 0.4933 0.2614
0.6599 0.5067 0.7386
0.6599 0.9933 0.2386
0.7161 0.2239 0.5327
0.7161 0.2761 0.0327
0.8248 0.6823 0.5397
0.8248 0.8177 0.0397



Entry 10:
As2PtAu PBE optimized geometry; final energy = -4.36 eV per atom; total moment = 0.001 μB per atom
1.0
0.0000 3.2866 3.2866
3.2866 0.0000 3.2866
3.2866 3.2866 0.0000
As Pt Au
2 1 1
direct
0.0000 0.0000 0.0000
0.2500 0.2500 0.2500
0.5000 0.5000 0.5000
0.7500 0.7500 0.7500



Entry 11:
K2NbAuSe4 PBE optimized geometry; final energy = -4.58 eV per atom; total moment = 0.000 μB per atom
1.0
0.0000 6.8977 12.0243
3.0055 0.0000 12.0243
3.0055 6.8977 0.0000
K Nb Au Se
4 2 2 8
direct
0.0555 0.0555 0.6945
0.3055 0.3055 0.9445
0.6945 0.6945 0.0555
0.9445 0.9445 0.3055
0.1250 0.1250 0.1250
0.8750 0.8750 0.8750
0.3750 0.3750 0.3750
0.6250 0.6250 0.6250
0.0684 0.3006 0.3944
0.2634 0.6056 0.6994
0.3006 0.0684 0.7366
0.3944 0.7366 0.0684
0.6056 0.2634 0.9316
0.6994 0.9316 0.2634
0.7366 0.3944 0.3006
0.9316 0.6994 0.6056



Entry 12:
Dy3OsC PBE optimized geometry; final energy = -6.77 eV per atom; total moment = 0.001 μB per atom
1.0
4.7483 0.0000 0.0000
0.0000 4.7483 0.0000
0.0000 0.0000 4.7483
Dy Os C
3 1 1
direct
0.0000 0.0000 0.5000
0.0000 0.5000 0.0000
0.5000 0.0000 0.0000
0.5000 0.5000 0.5000
0.0000 0.0000 0.0000